Here is a relaxed structure of BaSiTc2 from Alexandria via LeMat-Bulk. Energies are from PBE. Values from VASP.

```
&SYSTEM
  ibrav = 0, nat = 4, ntyp = 3
/
ATOMIC_SPECIES
Tc 98.00 Tc.upf
Ba 137.33 Ba.upf
Si 28.09 Si.upf
ATOMIC_POSITIONS angstrom
Tc 0.000 0.000 0.000
Tc 2.740 0.482 1.435
Ba -1.388 2.862 1.437
Si 1.370 2.379 -0.001
CELL_PARAMETERS angstrom
5.498 -0.001 -0.004
-2.758 4.758 0.001
-0.018 0.966 2.873
```

Results
SG = No. 12
ΔE_f (raw) = 1.01 eV per atom